Record 1
Y3ErNi4: relaxed, PBE.

Results
**Total magnetization**: 0.00 μB per atom
**Calculated formation energy**: -454 meV per atom
**E**: -6.233 eV/atom

Lattice parameters (Å, degrees): 5.4152 4.1748 7.0456 90.00 90.01 90.00
Space group Pm (No. 6)
Asymmetric unit:
Y 0.0000 0.0000 0.0000 (multiplicity 1)
Y 0.2400 0.0000 0.4999 (multiplicity 1)
Y 0.5001 0.5000 0.8593 (multiplicity 1)
Er 0.7400 0.5000 0.3593 (multiplicity 1)
Ni 0.2455 0.5000 0.2177 (multiplicity 1)
Ni 0.4947 0.0000 0.1418 (multiplicity 1)
Ni 0.7455 0.0000 0.6415 (multiplicity 1)
Ni 0.9945 0.5000 0.7175 (multiplicity 1)


Record 2
Hf4GaGeC2: relaxed, PBE.

Results
**Total magnetization**: 0.00 μB per atom
**E**: -9.040 eV/atom

Lattice parameters (Å, degrees): 3.2919 3.2919 13.8049 90.00 90.00 120.00
Space group P-6m2 (No. 187)
Asymmetric unit:
Hf 0.0000 0.0000 0.1569 (multiplicity 2)
Hf 0.3333 0.6667 0.3375 (multiplicity 2)
Ga 0.0000 0.0000 0.5000 (multiplicity 1)
Ge 0.3333 0.6667 0.0000 (multiplicity 1)
C 0.6667 0.3333 0.2474 (multiplicity 2)


Record 3
HfTaPO: relaxed, PBE.

Results
**Energy above the most stable polymorph in this dataset**: 0.369 eV/atom
**Total magnetization**: 0.00 μB per atom
**E**: -9.233 eV/atom

Lattice parameters (Å, degrees): 3.5366 6.7568 5.6605 90.00 90.00 90.00
Space group Pmc2_1 (No. 26)
Asymmetric unit:
Hf 0.0000 0.1086 0.0000 (multiplicity 2)
Ta 0.5000 0.2543 0.5258 (multiplicity 2)
P 0.5000 0.3821 0.9342 (multiplicity 2)
O 0.0000 0.2066 0.3624 (multiplicity 2)


Record 4
Gd2ErTmIn2: relaxed, PBE.

Results
**Total magnetization**: 0.01 μB per atom
**E**: -4.321 eV/atom

Lattice parameters (Å, degrees): 5.3789 5.3789 6.7151 90.00 90.00 120.00
Space group P-6m2 (No. 187)
Asymmetric unit:
Gd 0.0000 0.0000 0.2502 (multiplicity 2)
Er 0.3333 0.6667 0.0000 (multiplicity 1)
Tm 0.6667 0.3333 0.5000 (multiplicity 1)
In 0.3333 0.6667 0.5000 (multiplicity 1)
In 0.6667 0.3333 0.0000 (multiplicity 1)


Record 5
Y2TmSn3IrPd2: relaxed, PBE.

Results
**Total magnetization**: 0.00 μB per atom
**E**: -6.322 eV/atom

Lattice parameters (Å, degrees): 3.8414 13.2195 7.6504 90.00 90.00 90.00
Space group Amm2 (No. 38)
Asymmetric unit:
Y 0.0000 0.1997 0.0000 (multiplicity 4)
Tm 0.0000 0.0000 0.4020 (multiplicity 2)
Sn 0.5000 0.0000 0.0606 (multiplicity 2)
Sn 0.5000 0.1307 0.6693 (multiplicity 4)
Ir 0.0000 0.0000 0.7973 (multiplicity 2)
Pd 0.5000 0.1640 0.3018 (multiplicity 4)


Record 6
NiCl2: relaxed, PBE.

Results
**Total magnetization**: 0.67 μB per atom
**E**: -3.675 eV/atom

Lattice parameters (Å, degrees): 3.4658 3.4658 17.1482 90.00 90.00 120.00
Space group R-3m (No. 166, hexagonal axes)
Asymmetric unit:
Ni 0.0000 0.0000 0.0000 (multiplicity 3)
Cl 0.0000 0.0000 0.2572 (multiplicity 6)


Record 7
GdAlIn2: relaxed, PBE.

Results
**Total magnetization**: 0.00 μB per atom
**E**: -3.814 eV/atom

Lattice parameters (Å, degrees): 4.9583 6.6109 11.3870 90.00 90.00 90.00
Space group Amm2 (No. 38)
Asymmetric unit:
Gd 0.0000 0.0000 0.0000 (multiplicity 2)
Gd 0.5000 0.0000 0.3290 (multiplicity 2)
Al 0.0000 0.2222 0.7425 (multiplicity 4)
In 0.0000 0.0000 0.5084 (multiplicity 2)
In 0.5000 0.0000 0.8229 (multiplicity 2)
In 0.5000 0.2397 0.5903 (multiplicity 4)


Record 8
Li3Zn: relaxed, PBE.

Results
**E**: -1.814 eV/atom

Lattice parameters (Å, degrees): 4.1958 4.1958 3.3789 90.00 90.00 90.00
Space group P4/mmm (No. 123)
Asymmetric unit:
Li 0.0000 0.0000 0.0000 (multiplicity 1)
Li 0.0000 0.5000 0.5000 (multiplicity 2)
Zn 0.5000 0.5000 0.0000 (multiplicity 1)


Record 9
Gd2InSnPd4: relaxed, PBE.

Results
**Total magnetization**: 0.00 μB per atom
**E**: -5.443 eV/atom

Lattice parameters (Å, degrees): 4.6125 4.6125 8.9705 90.00 90.00 120.00
Space group P-3m1 (No. 164)
Asymmetric unit:
Gd 0.3333 0.6667 0.2501 (multiplicity 2)
In 0.0000 0.0000 0.5000 (multiplicity 1)
Sn 0.0000 0.0000 0.0000 (multiplicity 1)
Pd 0.3333 0.6667 0.5849 (multiplicity 2)
Pd 0.3333 0.6667 0.9141 (multiplicity 2)


Record 10
YSbW2: relaxed, PBE.

Results
**Total magnetization**: 0.00 μB per atom
**E**: -8.632 eV/atom

Lattice parameters (Å, degrees): 6.7971 6.7971 6.7971 90.00 90.00 90.00
Space group F-43m (No. 216)
Asymmetric unit:
Y 0.0000 0.0000 0.0000 (multiplicity 4)
Sb 0.2500 0.2500 0.7500 (multiplicity 4)
W 0.0000 0.0000 0.5000 (multiplicity 4)
W 0.2500 0.2500 0.2500 (multiplicity 4)


Record 11
HfInTe2: relaxed, PBE.

Results
**Total magnetization**: 0.13 μB per atom
**E**: -4.485 eV/atom

Lattice parameters (Å, degrees): 7.4463 7.4463 7.4463 90.00 90.00 90.00
Space group F-43m (No. 216)
Asymmetric unit:
Hf 0.0000 0.0000 0.0000 (multiplicity 4)
In 0.2500 0.2500 0.7500 (multiplicity 4)
Te 0.0000 0.0000 0.5000 (multiplicity 4)
Te 0.2500 0.2500 0.2500 (multiplicity 4)


Record 12
ReTcAsO: relaxed, PBE.

Results
**Energy above the most stable polymorph in this dataset**: 0.341 eV/atom
**Total magnetization**: 0.19 μB per atom
**E**: -8.031 eV/atom

Lattice parameters (Å, degrees): 4.0950 4.0950 6.1302 90.00 90.00 90.00
Space group P4/nmm (No. 129, origin choice 2)
Asymmetric unit:
Re 0.2500 0.2500 0.1585 (multiplicity 2)
Tc 0.2500 0.7500 0.5000 (multiplicity 2)
As 0.2500 0.2500 0.7282 (multiplicity 2)
O 0.2500 0.7500 0.0000 (multiplicity 2)


Record 13
GdDyCu: relaxed, PBE.

Results
**Energy above the most stable polymorph in this dataset**: 0.000 eV/atom
**Total magnetization**: 0.00 μB per atom
**Calculated formation energy**: 71 meV per atom
**E**: -4.253 eV/atom

Lattice parameters (Å, degrees): 6.8309 6.8309 6.8309 90.00 90.00 90.00
Space group F-43m (No. 216)
Asymmetric unit:
Gd 0.0000 0.0000 0.0000 (multiplicity 4)
Dy 0.0000 0.0000 0.5000 (multiplicity 4)
Cu 0.2500 0.2500 0.7500 (multiplicity 4)


Record 14
DyBeNO: relaxed, PBE.

Results
**Energy above the most stable polymorph in this dataset**: 0.316 eV/atom
**Total magnetization**: 0.00 μB per atom
**E**: -7.236 eV/atom

Lattice parameters (Å, degrees): 3.4814 3.4814 7.2352 90.00 90.00 90.00
Space group P4/nmm (No. 129, origin choice 2)
Asymmetric unit:
Dy 0.2500 0.2500 0.1741 (multiplicity 2)
Be 0.2500 0.7500 0.5000 (multiplicity 2)
N 0.2500 0.2500 0.5939 (multiplicity 2)
O 0.2500 0.7500 0.0000 (multiplicity 2)


Record 15
NdFe3: relaxed, PBE.

Results
**Total magnetization**: 1.79 μB per atom
**Calculated formation energy**: 477 meV per atom
**E**: -6.945 eV/atom

Lattice parameters (Å, degrees): 3.8616 3.8616 8.6560 90.00 90.00 90.00
Space group I4/mmm (No. 139)
Asymmetric unit:
Nd 0.0000 0.0000 0.0000 (multiplicity 2)
Fe 0.0000 0.0000 0.5000 (multiplicity 2)
Fe 0.0000 0.5000 0.2500 (multiplicity 4)


Record 16
Hg2MoPb: relaxed, PBE.

Results
**Total magnetization**: 0.85 μB per atom
**E**: -3.005 eV/atom

Lattice parameters (Å, degrees): 7.2247 7.2247 7.2247 90.00 90.00 90.00
Space group F-43m (No. 216)
Asymmetric unit:
Hg 0.0000 0.0000 0.0000 (multiplicity 4)
Hg 0.2500 0.2500 0.2500 (multiplicity 4)
Mo 0.2500 0.2500 0.7500 (multiplicity 4)
Pb 0.0000 0.0000 0.5000 (multiplicity 4)


Record 17
ZrMo2: relaxed, PBE.

Results
**Energy above the most stable polymorph in this dataset**: 0.024 eV/atom
**Total magnetization**: 0.00 μB per atom
**Calculated formation energy**: -114 meV per atom
**E**: -10.195 eV/atom

Lattice parameters (Å, degrees): 5.4270 5.4270 8.6668 90.00 90.00 120.00
Space group P6_3/mmc (No. 194)
Asymmetric unit:
Zr 0.3333 0.6667 0.0603 (multiplicity 4)
Mo 0.0000 0.0000 0.0000 (multiplicity 2)
Mo 0.1694 0.3387 0.7500 (multiplicity 6)


Record 18
HfPtPb: relaxed, PBE.

Results
**Total magnetization**: 0.00 μB per atom
**E**: -6.949 eV/atom

Lattice parameters (Å, degrees): 3.5151 3.5151 10.1037 90.00 90.00 90.00
Space group P4/mmm (No. 123)
Asymmetric unit:
Hf 0.0000 0.0000 0.0000 (multiplicity 1)
Hf 0.5000 0.5000 0.5000 (multiplicity 1)
Pt 0.0000 0.0000 0.3639 (multiplicity 2)
Pb 0.5000 0.5000 0.1913 (multiplicity 2)


Record 19
PmTeNO: relaxed, PBE.

Results
**Energy above the most stable polymorph in this dataset**: 0.391 eV/atom
**Total magnetization**: 0.00 μB per atom
**E**: -6.316 eV/atom

Lattice parameters (Å, degrees): 4.1606 6.1575 6.5822 90.00 90.00 90.00
Space group Pmc2_1 (No. 26)
Asymmetric unit:
Pm 0.0000 0.2015 0.0000 (multiplicity 2)
Te 0.5000 0.3349 0.4010 (multiplicity 2)
N 0.5000 0.3872 0.0634 (multiplicity 2)
O 0.0000 0.0846 0.6914 (multiplicity 2)


Record 20
ZrHgGe: relaxed, PBE.

Results
**Total magnetization**: 0.00 μB per atom
**E**: -4.435 eV/atom

Lattice parameters (Å, degrees): 6.4459 6.4459 6.4459 90.00 90.00 90.00
Space group F-43m (No. 216)
Asymmetric unit:
Zr 0.0000 0.0000 0.0000 (multiplicity 4)
Hg 0.0000 0.0000 0.5000 (multiplicity 4)
Ge 0.2500 0.2500 0.7500 (multiplicity 4)


Record 21
SrAsPd: relaxed, PBE.

Results
**E**: -4.807 eV/atom

Lattice parameters (Å, degrees): 4.3093 4.3093 8.9640 90.00 90.00 120.00
Space group P6_3/mmc (No. 194)
Asymmetric unit:
Sr 0.0000 0.0000 0.0000 (multiplicity 2)
As 0.3333 0.6667 0.2500 (multiplicity 2)
Pd 0.3333 0.6667 0.7500 (multiplicity 2)


Record 22
SmYGe2Os: relaxed, PBE.

Results
**Total magnetization**: 0.00 μB per atom
**E**: -7.014 eV/atom

Lattice parameters (Å, degrees): 10.8903 4.3213 10.2568 90.00 118.27 90.00
Space group C2/m (No. 12)
Asymmetric unit:
Sm 0.1869 0.0000 0.1134 (multiplicity 4)
Y 0.0028 0.0000 0.6739 (multiplicity 4)
Ge 0.0075 0.5000 0.8717 (multiplicity 4)
Ge 0.1436 0.5000 0.5620 (multiplicity 4)
Os 0.2301 0.5000 0.3718 (multiplicity 4)


Record 23
KNaRe: relaxed, PBE.

Results
**Energy above the most stable polymorph in this dataset**: 1.320 eV/atom
**Total magnetization**: 1.19 μB per atom
**E**: -2.876 eV/atom

Lattice parameters (Å, degrees): 7.7081 7.7081 7.7081 90.00 90.00 90.00
Space group F-43m (No. 216)
Asymmetric unit:
K 0.0000 0.0000 0.0000 (multiplicity 4)
Na 0.0000 0.0000 0.5000 (multiplicity 4)
Re 0.2500 0.2500 0.2500 (multiplicity 4)


Record 24
ZrPd: relaxed, PBE.

Results
**Total magnetization**: 0.00 μB per atom
**Calculated formation energy**: -379 meV per atom
**E**: -7.240 eV/atom

Lattice parameters (Å, degrees): 3.0821 3.0821 4.5340 90.00 90.00 120.00
Space group P-6m2 (No. 187)
Asymmetric unit:
Zr 0.0000 0.0000 0.0000 (multiplicity 1)
Pd 0.3333 0.6667 0.5000 (multiplicity 1)